No. 1
Material: AcPm2
Method: DFT, PBE
State: optimized geometry

Its formation energy is 0.04 eV/atom. The value obtained for the energy above the most stable polymorph in this dataset is 0 meV per atom.

The structure in CIF format:
```
data_AcPm2
_chemical_formula_sum 'Ac2 Pm4'
_space_group_name_H-M_alt 'I 4/m m m'
_space_group_IT_number 139
_space_group_name_Hall '-I 4 2'
_cell_length_a 3.792
_cell_length_b 3.792
_cell_length_c 15.776
_cell_angle_alpha 90.00
_cell_angle_beta 90.00
_cell_angle_gamma 90.00
loop_
_atom_site_label
_atom_site_type_symbol
_atom_site_fract_x
_atom_site_fract_y
_atom_site_fract_z
Ac1 Ac 0.000 0.000 0.000
Pm1 Pm 0.000 0.000 0.328
```

=====

No. 2
Material: ScBe9W2
Method: DFT, PBE
State: optimized geometry

Its formation energy is -0.26 eV/atom.

The structure in CIF format:
```
data_ScBe9W2
_chemical_formula_sum 'Sc2 Be18 W4'
_space_group_name_H-M_alt 'P 63/m m c'
_space_group_IT_number 194
_space_group_name_Hall '-P 6c 2c'
_cell_length_a 4.4894
_cell_length_b 4.4894
_cell_length_c 14.2117
_cell_angle_alpha 90.00
_cell_angle_beta 90.00
_cell_angle_gamma 120.00
loop_
_atom_site_label
_atom_site_type_symbol
_atom_site_fract_x
_atom_site_fract_y
_atom_site_fract_z
Sc1 Sc 0.3333 0.6667 0.2500
Be1 Be 0.0000 0.0000 0.0000
Be2 Be 0.0000 0.0000 0.2500
Be3 Be 0.1695 0.3389 0.6237
Be4 Be 0.3333 0.6667 0.7500
W1 W 0.3333 0.6667 0.0313
```

=====

No. 3
Material: LaPAu
Method: DFT, PBE
State: optimized geometry

Its formation energy is -0.54 eV/atom.

The structure in CIF format:
```
data_LaPAu
_chemical_formula_sum 'La4 P4 Au4'
_space_group_name_H-M_alt 'F -4 3 m'
_space_group_IT_number 216
_space_group_name_Hall 'F -4 2 3'
_cell_length_a 6.966
_cell_length_b 6.966
_cell_length_c 6.966
_cell_angle_alpha 90.00
_cell_angle_beta 90.00
_cell_angle_gamma 90.00
loop_
_atom_site_label
_atom_site_type_symbol
_atom_site_fract_x
_atom_site_fract_y
_atom_site_fract_z
La1 La 0.000 0.000 0.000
P1 P 0.250 0.250 0.250
Au1 Au 0.250 0.250 0.750
```

=====

No. 4
Material: LiAcSi
Method: DFT, PBE
State: optimized geometry

The value obtained for the energy above the most stable polymorph in this dataset is 0 meV per atom. Its formation energy from raw total energies is -0.46 eV/atom.

The structure in CIF format:
```
data_LiAcSi
_chemical_formula_sum 'Li2 Ac2 Si2'
_space_group_name_H-M_alt 'P 4/n m m'
_space_group_IT_number 129
_cell_length_a 4.588
_cell_length_b 4.588
_cell_length_c 7.048
_cell_angle_alpha 90.00
_cell_angle_beta 90.00
_cell_angle_gamma 90.00
loop_
_space_group_symop_operation_xyz
'x,y,z'
'-x,-y,-z'
'-y+1/2,x,z'
'y+1/2,-x,-z'
'-x+1/2,-y+1/2,z'
'x+1/2,y+1/2,-z'
'y,-x+1/2,z'
'-y,x+1/2,-z'
'x+1/2,-y,-z'
'-x+1/2,y,z'
'-y,-x,-z'
'y,x,z'
'-x,y+1/2,-z'
'x,-y+1/2,z'
'y+1/2,x+1/2,-z'
'-y+1/2,-x+1/2,z'
loop_
_atom_site_label
_atom_site_type_symbol
_atom_site_fract_x
_atom_site_fract_y
_atom_site_fract_z
Li1 Li 0.250 0.750 0.000
Ac1 Ac 0.250 0.250 0.316
Si1 Si 0.250 0.250 0.784
```

=====

No. 5
Material: LaAs4
Method: DFT, PBE
State: optimized geometry

Its formation energy is 0.20 eV/atom. The value obtained for the energy above the most stable polymorph in this dataset is 487 meV per atom.

The structure in CIF format:
```
data_LaAs4
_chemical_formula_sum 'La2 As8'
_space_group_name_H-M_alt 'I m -3 m'
_space_group_IT_number 229
_space_group_name_Hall '-I 4 2 3'
_cell_length_a 6.697
_cell_length_b 6.697
_cell_length_c 6.697
_cell_angle_alpha 90.00
_cell_angle_beta 90.00
_cell_angle_gamma 90.00
loop_
_atom_site_label
_atom_site_type_symbol
_atom_site_fract_x
_atom_site_fract_y
_atom_site_fract_z
La1 La 0.000 0.000 0.000
As1 As 0.250 0.250 0.250
```

=====

No. 6
Material: LaMnNb3
Method: DFT, PBE
State: optimized geometry

Its formation energy is 0.51 eV/atom. The value obtained for the energy above the most stable polymorph in this dataset is 0 meV per atom.

The structure in CIF format:
```
data_LaMnNb3
_chemical_formula_sum 'La1 Mn1 Nb3'
_space_group_name_H-M_alt 'P m -3 m'
_space_group_IT_number 221
_space_group_name_Hall '-P 4 2 3'
_cell_length_a 4.772
_cell_length_b 4.772
_cell_length_c 4.772
_cell_angle_alpha 90.00
_cell_angle_beta 90.00
_cell_angle_gamma 90.00
loop_
_atom_site_label
_atom_site_type_symbol
_atom_site_fract_x
_atom_site_fract_y
_atom_site_fract_z
La1 La 0.000 0.000 0.000
Mn1 Mn 0.500 0.500 0.500
Nb1 Nb 0.000 0.500 0.500
```

=====

No. 7
Material: Pm5Ni2Sn2
Method: DFT, PBE
State: optimized geometry

Its formation energy is -0.43 eV/atom.

The structure in CIF format:
```
data_Pm5Ni2Sn2
_chemical_formula_sum 'Pm20 Ni8 Sn8'
_space_group_name_H-M_alt 'C m c e'
_space_group_IT_number 64
_space_group_name_Hall '-C 2ac 2'
_cell_length_a 15.695
_cell_length_b 8.712
_cell_length_c 7.189
_cell_angle_alpha 90.00
_cell_angle_beta 90.00
_cell_angle_gamma 90.00
loop_
_atom_site_label
_atom_site_type_symbol
_atom_site_fract_x
_atom_site_fract_y
_atom_site_fract_z
Pm1 Pm 0.000 0.000 0.000
Pm2 Pm 0.121 0.180 0.356
Ni1 Ni 0.000 0.108 0.629
Sn1 Sn 0.212 0.000 0.000
```

=====

No. 8
Material: Sm8BiPb2
Method: DFT, PBE
State: optimized geometry

Its formation energy is -0.30 eV/atom.

The structure in CIF format:
```
data_Sm8BiPb2
_chemical_formula_sum 'Sm16 Bi2 Pb4'
_space_group_name_H-M_alt 'C 1 2/m 1'
_space_group_IT_number 12
_cell_length_a 19.796
_cell_length_b 5.066
_cell_length_c 7.336
_cell_angle_alpha 90.00
_cell_angle_beta 98.70
_cell_angle_gamma 90.00
loop_
_space_group_symop_operation_xyz
'x,y,z'
'-x,-y,-z'
'-x,y,-z'
'x,-y,z'
'x+1/2,y+1/2,z'
'-x+1/2,-y+1/2,-z'
'-x+1/2,y+1/2,-z'
'x+1/2,-y+1/2,z'
loop_
_atom_site_label
_atom_site_type_symbol
_atom_site_fract_x
_atom_site_fract_y
_atom_site_fract_z
Sm1 Sm 0.017 0.000 0.251
Sm2 Sm 0.095 0.500 0.993
Sm3 Sm 0.162 0.500 0.527
Sm4 Sm 0.213 0.000 0.852
Bi1 Bi 0.000 0.500 0.500
Pb1 Pb 0.181 0.000 0.276
```

=====

No. 9
Material: Tb4Dy3Tm8
Method: DFT, PBE
State: optimized geometry

Its formation energy is 0.40 eV/atom. The value obtained for the energy above the most stable polymorph in this dataset is 263 meV per atom.

The structure in CIF format:
```
data_Tb4Dy3Tm8
_chemical_formula_sum 'Tb8 Dy6 Tm16'
_space_group_name_H-M_alt 'C 1 2/m 1'
_space_group_IT_number 12
_cell_length_a 13.196
_cell_length_b 12.761
_cell_length_c 6.637
_cell_angle_alpha 90.00
_cell_angle_beta 120.16
_cell_angle_gamma 90.00
loop_
_space_group_symop_operation_xyz
'x,y,z'
'-x,-y,-z'
'-x,y,-z'
'x,-y,z'
'x+1/2,y+1/2,z'
'-x+1/2,-y+1/2,-z'
'-x+1/2,y+1/2,-z'
'x+1/2,-y+1/2,z'
loop_
_atom_site_label
_atom_site_type_symbol
_atom_site_fract_x
_atom_site_fract_y
_atom_site_fract_z
Tb1 Tb 0.000 0.000 0.000
Tb2 Tb 0.000 0.000 0.500
Tb3 Tb 0.250 0.250 0.000
Dy1 Dy 0.000 0.500 0.000
Dy2 Dy 0.250 0.250 0.500
Tm1 Tm 0.000 0.253 0.000
Tm2 Tm 0.000 0.362 0.500
Tm3 Tm 0.233 0.500 0.972
Tm4 Tm 0.234 0.500 0.493
```

=====

No. 10
Material: AgTe4Rh2
Method: DFT, PBE
State: optimized geometry

Its formation energy from raw total energies is -0.35 eV/atom.

The structure in CIF format:
```
data_AgTe4Rh2
_chemical_formula_sum 'Ag4 Te16 Rh8'
_space_group_name_H-M_alt 'C 1 2/c 1'
_space_group_IT_number 15
_cell_length_a 11.350
_cell_length_b 11.352
_cell_length_c 8.016
_cell_angle_alpha 90.00
_cell_angle_beta 134.85
_cell_angle_gamma 90.00
loop_
_space_group_symop_operation_xyz
'x,y,z'
'-x,-y,-z'
'-x,y,-z+1/2'
'x,-y,z+1/2'
'x+1/2,y+1/2,z'
'-x+1/2,-y+1/2,-z'
'-x+1/2,y+1/2,-z+1/2'
'x+1/2,-y+1/2,z+1/2'
loop_
_atom_site_label
_atom_site_type_symbol
_atom_site_fract_x
_atom_site_fract_y
_atom_site_fract_z
Ag1 Ag 0.000 0.124 0.250
Te1 Te 0.000 0.266 0.532
Te2 Te 0.219 0.484 0.968
Rh1 Rh 0.000 0.500 0.000
Rh2 Rh 0.250 0.250 0.000
```

=====

No. 11
Material: ErPaBr2
Method: DFT, PBE
State: optimized geometry

Its formation energy from raw total energies is -0.69 eV/atom.

The structure in CIF format:
```
data_ErPaBr2
_chemical_formula_sum 'Er3 Pa3 Br6'
_space_group_name_H-M_alt 'R -3 m'
_space_group_IT_number 166
_space_group_name_Hall '-R 3 2"'
_cell_length_a 3.4366
_cell_length_b 3.4366
_cell_length_c 30.6837
_cell_angle_alpha 90.00
_cell_angle_beta 90.00
_cell_angle_gamma 120.00
loop_
_atom_site_label
_atom_site_type_symbol
_atom_site_fract_x
_atom_site_fract_y
_atom_site_fract_z
Er1 Er 0.0000 0.0000 0.0000
Pa1 Pa 0.0000 0.0000 0.5000
Br1 Br 0.0000 0.0000 0.4022
```

=====

No. 12
Material: HfTiAu
Method: DFT, PBE
State: optimized geometry

Its formation energy is -0.08 eV/atom. The value obtained for the energy above the most stable polymorph in this dataset is 283 meV per atom.

The structure in CIF format:
```
data_HfTiAu
_chemical_formula_sum 'Hf1 Ti1 Au1'
_space_group_name_H-M_alt 'P 3 m 1'
_space_group_IT_number 156
_cell_length_a 4.6094
_cell_length_b 4.6094
_cell_length_c 3.1874
_cell_angle_alpha 90.00
_cell_angle_beta 90.00
_cell_angle_gamma 120.00
loop_
_space_group_symop_operation_xyz
'x,y,z'
'-y,x-y,z'
'-x+y,-x,z'
'-y,-x,z'
'-x+y,y,z'
'x,x-y,z'
loop_
_atom_site_label
_atom_site_type_symbol
_atom_site_fract_x
_atom_site_fract_y
_atom_site_fract_z
Hf1 Hf 0.0000 0.0000 0.0000
Ti1 Ti 0.3333 0.6667 0.4987
Au1 Au 0.6667 0.3333 0.5031
```

=====

Result set for electronic total energy: -4.50 -5.74 -5.08 -4.28 -4.51 -8.35 -5.25 -4.76 -4.14 -4.65 -5.04 -7.12 eV/atom, one per record in the order listed.